First-principles (PBE+U) data for a geometry-optimized MnFe2P2O18 structure, as listed in the Alexandria database.

Properties
**Relative energy among the computed polymorphs**: 0.000 eV per atom
**Calculated total energy**: -140.3 eV per cell
**Calculated volume**: 15.124 Å³/atom
**Space group**: P-1

Unit cell a=5.3158 b=7.0950 c=10.0761 alpha=96.86 beta=98.98 gamma=109.47
Last column: nearest neighbours and their distance in Å.
Sites, in units of the cell vectors:
1 Mn 0.5000 0.5000 0.5000  6 O 1.87-2.00
2 Fe 0.0000 0.0000 0.0000  4 O 1.80-1.88
3 Fe 0.0000 0.5000 0.0000  6 O 1.92-2.02
4 P 0.4741 0.4053 0.1767  4 O 1.51-1.58
5 P 0.5259 0.5947 0.8233  4 O 1.51-1.58
6 O 0.5905 0.4290 0.3340  1 P 1.58
7 O 0.4095 0.5710 0.6660  1 P 1.58
8 O 0.7184 0.4953 0.1141  1 P 1.51
9 O 0.2816 0.5047 0.8859  1 P 1.51
10 O 0.3270 0.1718 0.1196  1 P 1.57
11 O 0.6730 0.8282 0.8804  1 P 1.57
12 O 0.2688 0.5169 0.1652  1 P 1.55
13 O 0.7312 0.4831 0.8348  1 P 1.55
14 O 0.7913 0.9357 0.2246  1 O 1.23
15 O 0.2087 0.0643 0.7754  1 O 1.23
16 O 0.2404 0.2156 0.4828  1 O 1.32
17 O 0.7596 0.7844 0.5172  1 O 1.32
18 O 0.1077 0.3250 0.4300  1 O 1.32
19 O 0.8923 0.6750 0.5700  1 O 1.32
20 O 0.6192 0.9714 0.2819  1 O 1.23
21 O 0.3808 0.0286 0.7181  1 O 1.23
22 O 0.1109 0.7904 0.0254  2 Fe 1.80-1.92
23 O 0.8891 0.2096 0.9746  2 Fe 1.80-1.92